Entry 1:
VASP calculation (PBE) on NiH3Pd3 after structural relaxation.

Results
DOS at the Fermi energy, states/eV per cell: 3.929
SG: No. 11
Total energy, eV/atom: -4.5227

```
14
Lattice="-1.3207 0.6063 -2.4643 -5.7614 -5.1049 1.8319 -3.0071 4.3478 2.6813" Properties=species:S:1:pos:R:3 pbc="T T T"
Ni -6.5183 -2.6505 2.0111
Ni -3.5709 2.4997 0.0379
H -3.7025 1.5439 1.5339
H -6.3866 -1.6948 0.5151
H -7.9167 -2.2567 2.8575
H -2.1724 2.1059 -0.8085
H -6.3952 -4.2756 1.5454
H -3.6940 4.1248 0.5035
Pd -3.6397 -0.1678 1.0791
Pd -6.4494 0.0170 0.9698
Pd -7.9288 -0.4792 3.3012
Pd -2.1604 0.3284 -1.2523
Pd -5.1504 2.0383 2.4316
Pd -4.9387 -2.1892 -0.3827
```

Entry 2:
VASP calculation (PBE) on Zr2SiMo after structural relaxation.

Results
DOS at the Fermi energy, states/eV per cell: 3.177
Uncorrected formation energy, eV/atom: -0.056
SG: No. 166
Total energy, eV/atom: -8.3936

```
4
Lattice="8.3044 -0.0070 -0.0041 7.6429 3.2479 -0.0041 7.6429 1.5533 2.8524" Properties=species:S:1:pos:R:3 pbc="T T T"
Mo 5.8975 1.1986 0.7110
Si 17.6926 3.5957 2.1331
Zr 0.0349 0.0071 0.0042
Zr 11.7602 2.3900 1.4179
```

Entry 3:
VASP calculation (PBE) on LiCd6Pd2 after structural relaxation.

Results
Calculated formation energy, kcal/mol of atoms: -4.05
DOS at the Fermi energy, states/eV per cell: 3.474
SG: No. 12
Total energy, eV/atom: -2.1522

```
9
Lattice="-3.3426 -3.0106 -2.0584 4.7779 -6.1383 1.2190 -2.6681 3.8750 4.5424" Properties=species:S:1:pos:R:3 pbc="T T T"
Li 0.0000 0.0000 0.0000
Cd 0.8383 -2.1639 1.7825
Cd -3.8491 -0.8255 1.4668
Cd -2.0710 -3.1099 1.9205
Cd -0.7634 -2.6717 -0.7976
Cd 2.6164 -4.4483 2.2362
Cd 2.1987 -6.4772 -0.0418
Pd 0.0667 -4.8082 0.9551
Pd -1.2994 -0.4657 2.7479
```

Entry 4:
VASP calculation (PBE) on CsNa3Ca4Br12 after structural relaxation.

Results
DOS at the Fermi energy, states/eV per cell: 0.000
Uncorrected formation energy, eV/atom: -1.859
SG: No. 204
Total energy, eV/atom: -3.5036

```
20
Lattice="9.5395 0.0000 0.0000 -3.1798 8.9940 0.0000 -3.1798 -4.4970 7.7890" Properties=species:S:1:pos:R:3 pbc="T T T"
Cs 0.0000 0.0000 0.0000
Na -3.1798 2.2485 3.8945
Na 3.1798 4.4970 0.0000
Na 3.1798 -2.2485 3.8945
Ca 4.7698 0.0000 0.0000
Ca 1.5899 2.2485 3.8945
Ca -1.5899 4.4970 0.0000
Ca -1.5899 -2.2485 3.8945
Br -0.0665 6.7925 0.9476
Br 3.2464 -2.2955 6.8414
Br 2.4061 5.0441 3.9760
Br 5.5860 5.4183 1.4327
Br 6.4262 -0.2800 2.3803
Br -0.7737 3.0286 2.3803
Br 3.1133 1.9214 1.4327
Br -3.2464 4.7770 5.4087
Br 0.7737 -0.5471 3.8130
Br -2.4061 -0.9213 6.3563
Br 3.9536 1.4684 5.4087
Br 0.0666 2.5756 6.3563
```

Entry 5:
VASP calculation (PBE) on Rb4Pa3OsN8 after structural relaxation.

Results
DOS at the Fermi energy, states/eV per cell: 4.143
Uncorrected formation energy, eV/atom: -0.661
SG: No. 166
Total energy, eV/atom: -7.5483

```
16
Lattice="6.9940 0.0000 0.0000 0.0000 7.8138 0.5503 -3.4970 -3.4794 4.9573" Properties=species:S:1:pos:R:3 pbc="T T T"
Rb 3.4970 0.0000 0.0000
Rb 1.7485 -1.7397 2.4787
Rb 0.0000 0.0000 0.0000
Rb -1.7485 -1.7397 2.4787
Pa 3.4970 3.9069 0.2751
Pa 1.7485 2.1672 2.7538
Pa -1.7485 2.1672 2.7538
Os 0.0000 3.9069 0.2751
N -1.8273 1.8397 5.0462
N 0.0000 3.6580 2.4554
N 0.0000 0.7284 2.9770
N 1.8273 1.8397 5.0462
N 1.6697 2.4946 0.4614
N 3.4970 3.6060 2.5306
N 3.4970 0.6764 3.0521
N 5.3243 2.4946 0.4614
```

Entry 6:
VASP calculation (PBE) on SrMnSi3 after structural relaxation.

Results
DOS at the Fermi energy, states/eV per cell: 6.033
Uncorrected formation energy, eV/atom: 1.917
SG: No. 221
Total energy, eV/atom: -3.5072

```
5
Lattice="5.4138 0.0000 0.0000 0.0000 5.4138 0.0000 0.0000 0.0000 5.4138" Properties=species:S:1:pos:R:3 pbc="T T T"
Sr 0.0000 0.0000 0.0000
Si 0.0000 2.7069 0.0000
Si 0.0000 0.0000 2.7069
Si 2.7069 0.0000 0.0000
Mn 2.7069 2.7069 2.7069
```

Entry 7:
VASP calculation (PBE) on NaCa3Sn after structural relaxation.

Results
Calculated formation energy, kcal/mol of atoms: -3.48
DOS at the Fermi energy, states/eV per cell: 3.689
SG: No. 221
Total energy, eV/atom: -2.4162

```
5
Lattice="6.0697 0.0000 0.0000 0.0000 6.0697 0.0000 0.0000 0.0000 6.0697" Properties=species:S:1:pos:R:3 pbc="T T T"
Na 3.0348 3.0348 3.0348
Ca 0.0000 3.0348 0.0000
Ca 0.0000 0.0000 3.0348
Ca 3.0348 0.0000 0.0000
Sn 0.0000 0.0000 0.0000
```

Entry 8:
VASP calculation (PBE) on Ac2Sm3Y3 after structural relaxation.

Results
Calculated formation energy, kcal/mol of atoms: 3.41
DOS at the Fermi energy, states/eV per cell: 21.056
SG: No. 63
Total energy, eV/atom: -5.0729

```
16
Lattice="3.8114 0.0000 0.0000 -1.9057 8.7565 0.0000 0.0000 0.0000 17.7436" Properties=species:S:1:pos:R:3 pbc="T T T"
Ac 1.9057 4.3605 10.7280
Ac 0.0000 4.3960 1.8562
Ac 1.9057 4.3605 15.8874
Ac 0.0000 4.3960 7.0156
Sm 1.9057 1.6063 0.7259
Sm 0.0000 7.1502 9.5977
Sm 1.9057 1.6063 8.1459
Sm 0.0000 7.1502 17.0177
Sm 0.0000 6.6812 4.4359
Sm 1.9057 2.0752 13.3077
Y 1.9057 7.9592 2.1012
Y 0.0000 0.7972 10.9730
Y 1.9057 7.9592 6.7705
Y 0.0000 0.7972 15.6423
Y 1.9057 1.5714 4.4359
Y 0.0000 7.1851 13.3077
```

Entry 9:
VASP calculation (PBE) on Ho7In2Ag2 after structural relaxation.

Results
Calculated formation energy, kcal/mol of atoms: -0.59
DOS at the Fermi energy, states/eV per cell: 12.088
SG: No. 65
Total energy, eV/atom: -3.9549

```
11
Lattice="6.8354 -0.0028 -0.8704 0.0032 7.2633 0.0032 -1.2945 -0.0022 6.7679" Properties=species:S:1:pos:R:3 pbc="T T T"
Ho -0.6464 1.9482 3.3849
Ho 3.4201 5.3126 -0.4328
Ho 6.1905 5.3100 2.5159
Ho 2.1240 1.9456 6.3336
Ho 0.0000 0.0000 0.0000
Ho 2.7728 5.4186 2.9512
Ho 2.7713 1.8396 2.9496
In 4.5703 3.6275 4.8644
In 0.9738 3.6307 1.0364
Ag 4.4658 -0.0026 1.3560
Ag 1.0783 7.2608 4.5448
```

Entry 10:
VASP calculation (PBE) on Cd2SiOs after structural relaxation.

Results
DOS at the Fermi energy, states/eV per cell: 1.462
Uncorrected formation energy, eV/atom: 0.464
SG: No. 71
Total energy, eV/atom: -4.1565

```
4
Lattice="-4.8936 -1.9204 -1.0206 -0.5479 -5.1551 -1.3421 2.1901 3.0710 3.8012" Properties=species:S:1:pos:R:3 pbc="T T T"
Cd -0.0313 -0.0406 -0.0136
Cd -2.6895 -3.4971 -1.1678
Os -2.7121 -1.1936 0.7996
Si -0.5393 -2.8109 0.6389
```

Entry 11:
VASP calculation (PBE) on Ag3Ir after structural relaxation.

Results
Calculated formation energy, kcal/mol of atoms: 5.91
DOS at the Fermi energy, states/eV per cell: 6.488
SG: No. 62
Total energy, eV/atom: -4.0972

```
16
Lattice="4.8460 0.0000 0.0000 0.0000 9.5711 0.0000 0.0000 0.0000 5.8390" Properties=species:S:1:pos:R:3 pbc="T T T"
Ir 0.4264 7.1783 3.8719
Ir 1.9966 2.3928 0.9525
Ir 2.8494 7.1783 4.8865
Ir 4.4196 2.3928 1.9670
Ag 4.4099 2.3928 5.0558
Ag 1.1778 9.5413 2.2349
Ag 1.1778 4.8154 2.2349
Ag 1.2452 4.7557 5.1544
Ag 1.2452 0.0298 5.1544
Ag 2.8591 7.1783 2.1363
Ag 1.9869 2.3928 3.7026
Ag 3.6009 9.5413 0.6846
Ag 3.6009 4.8154 0.6846
Ag 3.6682 4.7557 3.6041
Ag 3.6682 0.0298 3.6041
Ag 0.4361 7.1783 0.7832
```

Entry 12:
VASP calculation (PBE) on Rb2InF after structural relaxation.

Results
DOS at the Fermi energy, states/eV per cell: 1.936
Uncorrected formation energy, eV/atom: -0.685
SG: No. 225
Total energy, eV/atom: -2.3216

```
4
Lattice="-5.6911 -0.7430 -1.8335 -4.5229 2.4265 3.1557 -3.0754 4.6691 -2.2460" Properties=species:S:1:pos:R:3 pbc="T T T"
F 0.0000 0.0000 0.0000
Rb -3.3224 1.5881 -0.2309
Rb -9.9671 4.7644 -0.6928
In -6.6447 3.1763 -0.4619
```

- Which formula does entry 2 have?
  Zr2SiMo

Please write out number 5 again, unchanged.
VASP calculation (PBE) on Rb4Pa3OsN8 after structural relaxation.

Results
DOS at the Fermi energy, states/eV per cell: 4.143
Uncorrected formation energy, eV/atom: -0.661
SG: No. 166
Total energy, eV/atom: -7.5483

```
16
Lattice="6.9940 0.0000 0.0000 0.0000 7.8138 0.5503 -3.4970 -3.4794 4.9573" Properties=species:S:1:pos:R:3 pbc="T T T"
Rb 3.4970 0.0000 0.0000
Rb 1.7485 -1.7397 2.4787
Rb 0.0000 0.0000 0.0000
Rb -1.7485 -1.7397 2.4787
Pa 3.4970 3.9069 0.2751
Pa 1.7485 2.1672 2.7538
Pa -1.7485 2.1672 2.7538
Os 0.0000 3.9069 0.2751
N -1.8273 1.8397 5.0462
N 0.0000 3.6580 2.4554
N 0.0000 0.7284 2.9770
N 1.8273 1.8397 5.0462
N 1.6697 2.4946 0.4614
N 3.4970 3.6060 2.5306
N 3.4970 0.6764 3.0521
N 5.3243 2.4946 0.4614
```

- What is the total energy in the fifth record?
  -7.5483 eV/atom

Copy entry 7 word for word.
VASP calculation (PBE) on NaCa3Sn after structural relaxation.

Results
Calculated formation energy, kcal/mol of atoms: -3.48
DOS at the Fermi energy, states/eV per cell: 3.689
SG: No. 221
Total energy, eV/atom: -2.4162

```
5
Lattice="6.0697 0.0000 0.0000 0.0000 6.0697 0.0000 0.0000 0.0000 6.0697" Properties=species:S:1:pos:R:3 pbc="T T T"
Na 3.0348 3.0348 3.0348
Ca 0.0000 3.0348 0.0000
Ca 0.0000 0.0000 3.0348
Ca 3.0348 0.0000 0.0000
Sn 0.0000 0.0000 0.0000
```